No. 1
First-principles (PBE) data for crystalline V2HAu at its relaxed geometry, as listed in Alexandria.

POSCAR file:
```
V2HAu
1.0
-0.6620 0.0285 2.9442
-0.0313 -2.5804 1.5646
5.7568 -0.1113 2.8421
V H Au
2 1 1
Cartesian
4.9259 -0.2139 2.6562 V
0.6108 -0.7467 1.6912 V
5.2876 -1.8135 5.8463 H
2.5279 -1.3321 3.6745 Au
```

## Properties
Crystal system = trigonal
Raw total energy = -24.76 eV per cell
D(E_F) = 3.7 states/eV/cell
Symmetry = R3m, No. 160
Energy relative to the lowest polymorph listed for this composition = 0.000 eV/atom

---

No. 2
First-principles (PBE) data for crystalline Cs2LaBr2O2 at its relaxed geometry, as listed in Alexandria.

POSCAR file:
```
Cs2LaBr2O2
1.0
-0.3702 4.0308 -2.6072
-2.7325 -2.3270 -3.2095
-6.2151 1.5740 7.7616
Cs La Br O
2 1 2 2
Cartesian
-5.7135 1.7846 3.5704 Cs
-3.6042 1.4932 -1.6255 Cs
0.0000 0.0000 0.0000 La
-2.5694 0.8026 1.6056 Br
-6.7483 2.4752 0.3392 Br
-1.3662 -1.1635 -1.6048 O
-0.1851 2.0154 -1.3036 O
```

## Properties
Crystal system = tetragonal
Raw total energy = -33.58 eV per cell
Uncorrected formation energy = -13.681 eV/f.u.
D(E_F) = 3.8 states/eV/cell
Symmetry = I4/mmm, No. 139

---

No. 3
First-principles (PBE) data for crystalline Pu2Pt3 at its relaxed geometry, as listed in Alexandria.

POSCAR file:
```
Pu2Pt3
1.0
5.4843 0.0000 0.0000
-2.7422 4.5768 0.0000
0.0000 0.0000 8.3971
Pu Pt
4 6
Cartesian
0.0000 1.3873 4.9302 Pu
2.7421 3.1894 3.4670 Pu
0.0000 3.1894 0.7316 Pu
2.7422 1.3873 7.6655 Pu
2.7422 0.0000 4.1986 Pt
0.0000 0.0000 0.0000 Pt
1.3711 3.5979 6.2978 Pt
4.1132 0.9789 2.0993 Pt
-1.3711 3.5979 6.2978 Pt
1.3711 0.9789 2.0993 Pt
```

## Properties
Crystal system = orthorhombic
DFT formation energy = -0.776 eV per atom
Raw total energy = -101.34 eV per cell
D(E_F) = 38.7 states/eV/cell
Symmetry = Cmce, No. 64

---

No. 4
First-principles (PBE) data for crystalline Ce2ZnAg3 at its relaxed geometry, as listed in Alexandria.

POSCAR file:
```
Ce2ZnAg3
1.0
5.6071 -0.6779 -1.4294
-2.0896 5.2471 -1.4294
0.5238 0.6805 8.9769
Ce Zn Ag
4 2 6
Cartesian
0.0964 4.1061 3.0590 Ce
2.6541 3.4478 -2.1572 Ce
3.9448 1.1436 3.0590 Ce
0.8633 1.1214 -0.7017 Ce
2.5190 3.2722 1.0844 Zn
1.5223 1.9775 5.0336 Zn
0.2638 4.2357 -0.1503 Ag
0.0139 3.9112 6.2683 Ag
3.7775 1.0140 6.2684 Ag
4.0273 1.3385 -0.1503 Ag
0.7740 1.0055 2.5594 Ag
3.2672 4.2442 3.5587 Ag
```

## Properties
Crystal system = orthorhombic
DFT formation energy = -0.199 eV per atom
Raw total energy = -45.78 eV per cell
D(E_F) = 23.6 states/eV/cell
Symmetry = Fmmm, No. 69

---

No. 5
First-principles (PBE) data for crystalline Cd3AsF at its relaxed geometry, as listed in Alexandria.

POSCAR file:
```
Cd3AsF
1.0
5.3905 0.0000 0.0000
0.0000 5.3905 0.0000
0.0000 0.0000 5.3905
As F Cd
1 1 3
Cartesian
0.0000 0.0000 0.0000 As
2.6953 2.6953 2.6953 F
0.0000 2.6953 0.0000 Cd
0.0000 0.0000 2.6953 Cd
2.6953 0.0000 0.0000 Cd
```

## Properties
Crystal system = cubic
Raw total energy = -10.26 eV per cell
Uncorrected formation energy = -0.993 eV/f.u.
D(E_F) = 1.1 states/eV/cell
Symmetry = Pm-3m, No. 221
Energy relative to the lowest polymorph listed for this composition = 0.051 eV/atom

---

No. 6
First-principles (PBE) data for crystalline BeHg2Cl at its relaxed geometry, as listed in Alexandria.

POSCAR file:
```
BeHg2Cl
1.0
-2.0597 -0.1440 2.4756
2.3979 -0.9326 1.9408
1.4886 7.2872 1.6625
Be Hg Cl
1 2 1
Cartesian
0.5412 1.2835 2.6238 Be
0.0582 0.2850 0.0650 Hg
0.6861 3.3586 0.7662 Hg
1.2855 4.9270 3.4551 Cl
```

## Properties
Crystal system = tetragonal
Raw total energy = -5.30 eV per cell
Uncorrected formation energy = 0.875 eV/f.u.
D(E_F) = 1.1 states/eV/cell
Symmetry = P4/mmm, No. 123
Energy relative to the lowest polymorph listed for this composition = 0.419 eV/atom